No. 1
CuNi2Br, relaxed, DFT GGA-PBE; energy above the most stable polymorph in this dataset = 25.37 kJ per mole of atoms; E_form (uncorrected) = 0.58 eV/atom
1.0
4.810 0.007 0.000
2.032 4.359 0.000
-3.421 -2.183 2.582
Br Cu Ni
1 1 2
direct
0.500 0.500 0.000
0.750 0.250 0.500
0.000 0.000 0.000
0.250 0.750 0.500

---

No. 2
LuAlGaPd, relaxed, DFT GGA-PBE; formation energy = -0.64 eV per atom
1.0
4.657 0.000 0.000
2.328 4.033 0.000
2.328 1.344 3.802
Lu Ga Pd Al
1 1 1 1
direct
0.250 0.250 0.250
0.000 0.000 0.000
0.500 0.500 0.500
0.750 0.750 0.750

---

No. 3
Lu2PaN, relaxed, DFT GGA-PBE; energy above the most stable polymorph in this dataset = 0.00 kJ per mole of atoms; E_form (uncorrected) = -0.65 eV/atom
1.0
-3.185 0.633 0.159
-1.939 -1.863 1.827
-0.250 5.118 7.843
Pa Lu N
1 2 1
direct
0.000 0.000 0.000
0.118 0.118 0.646
0.882 0.882 0.354
0.500 0.500 0.500